Entry 1:
## LiLa2Mg (SCAN)

Data for a PBEsol-optimized structure of LiLa2Mg.

- Calculated density: 4.38 g/cm3
- Density of states at the Fermi level: 3.940 states/eV per cell
- E_form: -1 kJ/mol of atoms

a = 5.447 Å, b = 5.514 Å, c = 5.447 Å
α = 60.40°, β = 90.00°, γ = 119.60°
Atoms (fractional coordinates):
Mg (0.000, 0.000, 0.000)
La (0.250, 0.500, 0.250)
La (0.750, 0.500, 0.750)
Li (0.500, 0.000, 0.500)


Entry 2:
## CsFeAsBr2 (SCAN)

Data for a PBEsol-optimized structure of CsFeAsBr2.

- Raw formation energy: -0.564 eV per atom
- Calculated density: 5.29 g/cm3
- Density of states at the Fermi level: 2.123 states/eV per cell

a = 4.493 Å, b = 5.440 Å, c = 5.440 Å
α = 90.00°, β = 90.00°, γ = 90.00°
Last column: magnetic moment on the atom in μB.
Atoms (fractional coordinates):
Cs (0.500, 0.500, 0.500)  0.00
As (0.500, 0.000, 0.000)  -0.36
Fe (0.000, 0.000, 0.000)  2.98
Br (0.000, 0.000, 0.500)  -0.01
Br (0.000, 0.500, 0.000)  -0.01


- Which of these has the highest calculated density?
  CsFeAsBr2


- Number 1 is which compound?
  LiLa2Mg


- Which formula does entry 2 have?
  CsFeAsBr2


- Among the records above, which one has the lowest calculated density?
  LiLa2Mg